Entry 1:
! PBE-GGA SrCa3Pd, relaxed; values from VASP
! Total moment, μB/atom: 0.0000
! Energy of formation from the pure elements, eV/atom: -0.137
! E above lowest polymorph, eV per formula unit: 0.89
! Final energy, eV per formula unit: -13.57
&SYSTEM
  ibrav = 0, nat = 20, ntyp = 3
/
ATOMIC_SPECIES
Sr 87.62 Sr.upf
Ca 40.08 Ca.upf
Pd 106.42 Pd.upf
CELL_PARAMETERS angstrom
0.000 7.662 7.662
7.662 0.000 7.662
7.662 7.662 0.000
ATOMIC_POSITIONS crystal
Sr 0.000 0.000 0.000
Sr 0.000 0.000 0.500
Sr 0.000 0.500 0.000
Sr 0.500 0.000 0.000
Ca 0.193 0.193 0.557
Ca 0.193 0.557 0.193
Ca 0.193 0.557 0.557
Ca 0.443 0.443 0.807
Ca 0.443 0.807 0.443
Ca 0.443 0.807 0.807
Ca 0.557 0.193 0.193
Ca 0.557 0.193 0.557
Ca 0.557 0.557 0.193
Ca 0.807 0.443 0.443
Ca 0.807 0.443 0.807
Ca 0.807 0.807 0.443
Pd 0.000 0.500 0.500
Pd 0.500 0.000 0.500
Pd 0.500 0.500 0.000
Pd 0.500 0.500 0.500

---

Entry 2:
! PBE-GGA SrCa3Pd, relaxed; values from VASP
! Total moment, μB/atom: 0.0000
! Energy of formation from the pure elements, eV/atom: -0.083
! E above lowest polymorph, eV per formula unit: 1.17
! Final energy, eV per formula unit: -13.29
&SYSTEM
  ibrav = 0, nat = 10, ntyp = 3
/
ATOMIC_SPECIES
Sr 87.62 Sr.upf
Ca 40.08 Ca.upf
Pd 106.42 Pd.upf
CELL_PARAMETERS angstrom
-3.235 3.235 9.967
3.235 -3.235 9.967
3.235 3.235 -9.967
ATOMIC_POSITIONS crystal
Sr 0.205 0.205 0.000
Sr 0.795 0.795 0.000
Ca 0.043 0.543 0.500
Ca 0.128 0.378 0.751
Ca 0.457 0.957 0.500
Ca 0.622 0.373 0.751
Ca 0.622 0.872 0.249
Ca 0.627 0.378 0.249
Pd 0.500 0.500 0.000
Pd 0.750 0.250 0.500

---

Entry 3:
! PBE-GGA SrCa3Pd, relaxed; values from VASP
! Total moment, μB/atom: 0.0000
! Energy of formation from the pure elements, eV/atom: -0.308
! E above lowest polymorph, eV per formula unit: 0.04
! Final energy, eV per formula unit: -14.42
&SYSTEM
  ibrav = 0, nat = 10, ntyp = 3
/
ATOMIC_SPECIES
Sr 87.62 Sr.upf
Ca 40.08 Ca.upf
Pd 106.42 Pd.upf
CELL_PARAMETERS angstrom
6.532 0.000 0.000
-0.541 7.457 0.000
-1.687 -1.850 7.520
ATOMIC_POSITIONS crystal
Sr 0.000 0.000 0.000
Sr 0.444 0.748 0.748
Ca 0.354 0.694 0.227
Ca 0.415 0.225 0.436
Ca 0.471 0.284 0.933
Ca 0.884 0.424 0.319
Ca 0.893 0.944 0.462
Ca 0.934 0.456 0.808
Pd 0.588 0.024 0.153
Pd 0.749 0.664 0.086

---

Entry 4:
! PBE-GGA Sr4CaPd, relaxed; values from VASP
! Total moment, μB/atom: 0.0000
! Energy of formation from the pure elements, eV/atom: -0.022
! Final energy, eV per formula unit: -14.05
&SYSTEM
  ibrav = 0, nat = 6, ntyp = 3
/
ATOMIC_SPECIES
Sr 87.62 Sr.upf
Ca 40.08 Ca.upf
Pd 106.42 Pd.upf
CELL_PARAMETERS angstrom
5.368 0.000 0.000
0.000 5.368 0.000
0.000 0.000 9.916
ATOMIC_POSITIONS crystal
Sr 0.000 0.500 0.188
Sr 0.000 0.500 0.812
Sr 0.500 0.000 0.188
Sr 0.500 0.000 0.812
Ca 0.000 0.000 0.500
Pd 0.500 0.500 0.000

---

Entry 5:
! PBE-GGA Sr3CaPd, relaxed; values from VASP
! Total moment, μB/atom: 0.0000
! Energy of formation from the pure elements, eV/atom: -0.291
! E above lowest polymorph, eV per formula unit: 0.07
! Final energy, eV per formula unit: -13.69
&SYSTEM
  ibrav = 0, nat = 10, ntyp = 3
/
ATOMIC_SPECIES
Sr 87.62 Sr.upf
Ca 40.08 Ca.upf
Pd 106.42 Pd.upf
CELL_PARAMETERS angstrom
7.349 0.000 0.000
-2.572 7.006 0.000
-2.399 -3.458 8.423
ATOMIC_POSITIONS crystal
Sr 0.000 0.000 0.000
Sr 0.111 0.618 0.251
Sr 0.363 0.879 0.750
Sr 0.487 0.493 0.988
Sr 0.618 0.118 0.262
Sr 0.732 0.735 0.499
Ca 0.241 0.246 0.504
Ca 0.886 0.378 0.754
Pd 0.102 0.121 0.732
Pd 0.242 0.745 0.005

---

Entry 6:
! PBE-GGA Sr2CaPd2, relaxed; values from VASP
! Total moment, μB/atom: 0.0000
! Energy of formation from the pure elements, eV/atom: -0.542
! E above lowest polymorph, eV per formula unit: 0.01
! Final energy, eV per formula unit: -18.46
&SYSTEM
  ibrav = 0, nat = 10, ntyp = 3
/
ATOMIC_SPECIES
Sr 87.62 Sr.upf
Ca 40.08 Ca.upf
Pd 106.42 Pd.upf
CELL_PARAMETERS angstrom
4.315 0.000 0.000
0.000 6.890 0.000
0.000 0.000 9.972
ATOMIC_POSITIONS crystal
Sr 0.000 0.000 0.193
Sr 0.000 0.000 0.807
Sr 0.500 0.500 0.307
Sr 0.500 0.500 0.693
Ca 0.000 0.500 0.000
Ca 0.500 0.000 0.500
Pd 0.000 0.294 0.500
Pd 0.000 0.706 0.500
Pd 0.500 0.206 0.000
Pd 0.500 0.794 0.000

---

Entry 7:
! PBE-GGA SrCa3Pd, relaxed; values from VASP
! Total moment, μB/atom: 0.0000
! Energy of formation from the pure elements, eV/atom: -0.307
! E above lowest polymorph, eV per formula unit: 0.04
! Final energy, eV per formula unit: -14.41
&SYSTEM
  ibrav = 0, nat = 10, ntyp = 3
/
ATOMIC_SPECIES
Sr 87.62 Sr.upf
Ca 40.08 Ca.upf
Pd 106.42 Pd.upf
CELL_PARAMETERS angstrom
7.164 0.000 0.000
2.014 7.037 0.000
2.011 -0.535 7.020
ATOMIC_POSITIONS crystal
Sr 0.000 0.000 0.000
Sr 0.479 0.637 0.636
Ca 0.479 0.021 0.259
Ca 0.495 0.515 0.135
Ca 0.502 0.139 0.760
Ca 0.976 0.877 0.498
Ca 0.984 0.501 0.123
Ca 0.999 0.378 0.617
Pd 0.739 0.255 0.382
Pd 0.739 0.757 0.880

---

Entry 8:
! PBE-GGA SrCa3Pd, relaxed; values from VASP
! Total moment, μB/atom: 0.0000
! Energy of formation from the pure elements, eV/atom: -0.297
! E above lowest polymorph, eV per formula unit: 0.09
! Final energy, eV per formula unit: -14.37
&SYSTEM
  ibrav = 0, nat = 10, ntyp = 3
/
ATOMIC_SPECIES
Sr 87.62 Sr.upf
Ca 40.08 Ca.upf
Pd 106.42 Pd.upf
CELL_PARAMETERS angstrom
9.724 -2.059 0.000
9.724 2.059 0.000
-1.052 0.000 9.028
ATOMIC_POSITIONS crystal
Sr 0.000 0.000 0.000
Sr 0.060 0.060 0.432
Ca 0.256 0.256 0.536
Ca 0.320 0.320 0.958
Ca 0.437 0.437 0.644
Ca 0.659 0.659 0.780
Ca 0.674 0.674 0.186
Ca 0.868 0.868 0.313
Pd 0.465 0.465 0.247
Pd 0.835 0.835 0.720